(1)
Density functional theory data (PBE) for a relaxed structure of PrAl6Zn12.

abc: 11.2336 11.2336 9.3441
angles: 90.00 90.00 120.00
Space group R-3m (No. 166, hexagonal axes)
Inequivalent atoms, fractional coordinates:
Pr  0.0000  0.0000  0.0000 [3 per cell]
Al  0.0601  0.5301  0.2285 [18 per cell]
Zn  0.0000  0.3933  0.5000 [18 per cell]
Zn  0.0814  0.1628  0.2913 [18 per cell]

## Properties
Its formation energy from the elements is 0.032 eV per atom.

---

(2)
Density functional theory data (PBE) for a relaxed structure of MgZrPt2.

abc: 2.955 4.329 5.603
angles: 90.00 90.00 90.00
Space group Pmm2 (No. 25)
Inequivalent atoms, fractional coordinates:
Mg  0.000  0.000  0.000 [1 per cell]
Zr  0.500  0.500  0.665 [1 per cell]
Pt  0.000  0.000  0.483 [1 per cell]
Pt  0.500  0.500  0.149 [1 per cell]

## Properties
Its formation energy from the elements is -0.729 eV per atom.

---

(3)
Density functional theory data (PBE) for a relaxed structure of PmMg2CuSe4.

abc: 3.968 13.082 13.508
angles: 90.00 90.00 90.00
Space group Cmcm (No. 63)
Inequivalent atoms, fractional coordinates:
Pm  0.000  0.123  0.250 [4 per cell]
Mg  0.000  0.375  0.061 [8 per cell]
Cu  0.000  0.151  0.750 [4 per cell]
Se  0.000  0.000  0.000 [4 per cell]
Se  0.000  0.275  0.615 [8 per cell]
Se  0.000  0.456  0.250 [4 per cell]

## Properties
For the uncorrected formation energy, the calculation gives -1.1948 eV/atom.